This record from Alexandria via LeMat-Bulk describes a relaxed SrCrTc2 crystal. The functional is PBE.

Cell: 9.2279 9.2279 9.2279 Å, 18.71 18.71 18.71°
With the nearest neighbours (Å) after each atom.
Sites, in units of the cell vectors:
Cr 0.2500 0.2500 0.2500  6 Tc 2.48
Sr 0.7500 0.7500 0.7500  6 Sr 3.00, 6 Tc 3.26
Tc 0.9818 0.9818 0.9818  3 Cr 2.48
Tc 0.5182 0.5182 0.5182  3 Cr 2.48

Summary:
Total energy (eV per atom): -7.205
Magnetic moment (μB per formula unit): 0.0
Relative energy among the computed polymorphs (meV per atom): 241.2
Calculated density (kg/m³): 7886

This record from Alexandria via LeMat-Bulk describes a relaxed Sr2CrTc crystal. The functional is PBE.

Cell: 9.0735 9.0735 9.0735 Å, 26.01 26.01 26.01°
With the nearest neighbours (Å) after each atom.
Sites, in units of the cell vectors:
Cr 0.7917 0.7917 0.7917  3 Tc 2.36
Sr 0.0347 0.0347 0.0347  3 Tc 3.34, 3 Cr 3.35
Sr 0.2153 0.2153 0.2153  3 Cr 3.35, 3 Tc 3.35
Tc 0.4582 0.4582 0.4582  3 Cr 2.36

Summary:
Total energy (eV per atom): -5.455
Magnetic moment (μB per formula unit): 1.5
Relative energy among the computed polymorphs (meV per atom): 0.0
Calculated density (kg/m³): 4268

This record from Alexandria via LeMat-Bulk describes a relaxed SrCr2Tc crystal. The functional is PBE.

Cell: 9.1272 9.1272 9.1272 Å, 20.62 20.62 20.62°
With the nearest neighbours (Å) after each atom.
Sites, in units of the cell vectors:
Cr 0.0208 0.0208 0.0208  3 Tc 2.52
Cr 0.4792 0.4792 0.4792  3 Tc 2.52
Sr 0.2500 0.2500 0.2500  6 Sr 3.27, 6 Cr 3.37
Tc 0.7500 0.7500 0.7500  6 Cr 2.52

Summary:
Total energy (eV per atom): -6.847
Magnetic moment (μB per formula unit): 5.3
Relative energy among the computed polymorphs (meV per atom): 387.2
Calculated density (kg/m³): 5825

This record from Alexandria via LeMat-Bulk describes a relaxed SrCrTc2 crystal. The functional is PBE.

Cell: 5.5106 5.5106 2.8105 Å, 80.52 80.52 118.76°
With the nearest neighbours (Å) after each atom.
Sites, in units of the cell vectors:
Cr 0.5000 0.0000 0.5000  2 Sr 2.81, 2 Cr 2.81, 4 Tc 2.88
Sr 0.0000 0.5000 0.5000  2 Cr 2.81, 2 Sr 2.81, 4 Tc 2.88
Tc 0.0000 0.0000 0.0000  4 Tc 2.81, 2 Cr 2.88, 2 Sr 2.88
Tc 0.5000 0.5000 0.0000  4 Tc 2.81, 2 Sr 2.88, 2 Cr 2.88

Summary:
Total energy (eV per atom): -6.966
Magnetic moment (μB per formula unit): 2.0
Relative energy among the computed polymorphs (meV per atom): 480.2
Calculated density (kg/m³): 7872

This record from Alexandria via LeMat-Bulk describes a relaxed SrCrTc2 crystal. The functional is PBE.

Cell: 4.5499 4.5499 4.5499 Å, 60.00 60.00 60.00°
With the nearest neighbours (Å) after each atom.
Sites, in units of the cell vectors:
Sr 0.5000 0.5000 0.5000  8 Tc 2.79
Tc 0.2500 0.2500 0.2500  4 Cr 2.79, 4 Sr 2.79
Tc 0.7500 0.7500 0.7500  4 Cr 2.79, 4 Sr 2.79
Cr 0.0000 0.0000 0.0000  8 Tc 2.79

Summary:
Total energy (eV per atom): -6.970
Magnetic moment (μB per formula unit): 0.0
Relative energy among the computed polymorphs (meV per atom): 475.6
Calculated density (kg/m³): 8367

This record from Alexandria via LeMat-Bulk describes a relaxed SrTiCr2Tc crystal. The functional is PBE.

Cell: 4.6255 4.6987 4.6255 Å, 90.00 90.00 90.00°
With the nearest neighbours (Å) after each atom.
Sites, in units of the cell vectors:
Sr 0.0000 0.0000 0.0000  4 Cr 2.31, 2 Ti 2.35
Ti 0.0000 0.5000 0.0000  2 Sr 2.35
Tc 0.5000 0.5000 0.5000  4 Ti 3.27, 8 Cr 3.30
Cr 0.0000 0.0000 0.5000  2 Sr 2.31
Cr 0.5000 0.0000 0.0000  2 Sr 2.31

Summary:
Total energy (eV per atom): -5.287
Magnetic moment (μB per formula unit): 3.9
Calculated density (kg/m³): 5574

This record from Alexandria via LeMat-Bulk describes a relaxed Sr2CrTe crystal. The functional is PBE.

Cell: 6.9487 6.9487 6.9487 Å, 140.40 140.40 57.25°
With the nearest neighbours (Å) after each atom.
Sites, in units of the cell vectors:
Cr 0.7500 0.2500 0.5000  4 Sr 3.33
Sr 0.0000 0.0000 0.0000  4 Te 3.33
Sr 0.2500 0.7500 0.5000  4 Cr 3.33
Te 0.5000 0.5000 0.0000  4 Sr 3.33

Summary:
Total energy (eV per atom): -4.218
Magnetic moment (μB per formula unit): 4.3
Energy relative to the elements, uncorrected (eV per atom): -0.19
Calculated density (kg/m³): 4359

This record from Alexandria via LeMat-Bulk describes a relaxed Sr2CrTe crystal. The functional is PBE.

Cell: 4.1484 4.1484 7.7778 Å, 90.00 90.00 90.00°
With the nearest neighbours (Å) after each atom.
Sites, in units of the cell vectors:
Cr 0.5000 0.5000 0.7500  8 Sr 3.54, 2 Te 3.89
Sr 0.0000 0.0000 0.0048  4 Te 3.50, 4 Cr 3.54, 1 Sr 3.81
Sr 0.0000 0.0000 0.4952  4 Te 3.50, 4 Cr 3.54, 1 Sr 3.81
Te 0.5000 0.5000 0.2500  8 Sr 3.50, 2 Cr 3.89

Summary:
Total energy (eV per atom): -4.369
Magnetic moment (μB per formula unit): 5.0
Energy relative to the elements, uncorrected (eV per atom): -0.34
Calculated density (kg/m³): 4402

This record from Alexandria via LeMat-Bulk describes a relaxed Sr2CrTe crystal. The functional is PBE.

Cell: 8.8035 8.8035 7.4792 Å, 53.95 53.95 90.00°
With the nearest neighbours (Å) after each atom.
Sites, in units of the cell vectors:
Sr 0.6358 0.1250 0.2500  2 Te 3.22, 2 Cr 3.35
Sr 0.1142 0.6250 0.2500  2 Te 3.22, 2 Cr 3.35
Sr 0.3750 0.3642 0.7500  2 Te 3.22, 2 Cr 3.35
Sr 0.8750 0.8858 0.7500  2 Te 3.22, 2 Cr 3.35
Te 0.0000 0.0000 0.0000  4 Sr 3.22
Te 0.7500 0.2500 0.5000  4 Sr 3.22
Cr 0.5000 0.5000 0.0000  4 Sr 3.35
Cr 0.2500 0.7500 0.5000  4 Sr 3.35

Summary:
Total energy (eV per atom): -4.096
Magnetic moment (μB per formula unit): 6.0
Energy relative to the elements, uncorrected (eV per atom): -0.06
Calculated density (kg/m³): 3668

This record from Alexandria via LeMat-Bulk describes a relaxed SrCrTe2 crystal. The functional is PBE.

Cell: 9.1066 9.1066 9.1066 Å, 31.59 31.59 31.59°
With the nearest neighbours (Å) after each atom.
Sites, in units of the cell vectors:
Sr 0.5000 0.5000 0.5000  6 Te 3.35
Te 0.9008 0.9008 0.9008  1 Cr 2.57
Te 0.0992 0.0992 0.0992  1 Cr 2.57
Cr 0.0000 0.0000 0.0000  2 Te 2.57

Summary:
Total energy (eV per atom): -4.758
Magnetic moment (μB per formula unit): 4.0
Energy relative to the elements, uncorrected (eV per atom): -0.36
Calculated density (kg/m³): 3563

This record from Alexandria via LeMat-Bulk describes a relaxed SrCrTe2 crystal. The functional is PBE.

Cell: 7.7015 7.7015 4.1633 Å, 89.99 89.99 30.79°
With the nearest neighbours (Å) after each atom.
Sites, in units of the cell vectors:
Cr 0.5214 0.5214 0.6224  5 Te 2.69-2.98
Sr 0.2936 0.2936 0.1269  6 Te 3.22-3.47
Te 0.9825 0.9825 0.1238  4 Cr 2.97-2.98
Te 0.7026 0.7026 0.6269  1 Cr 2.69

Summary:
Total energy (eV per atom): -5.035
Magnetic moment (μB per formula unit): 4.0
Energy relative to the elements, uncorrected (eV per atom): -0.64
Calculated density (kg/m³): 5187

This record from Alexandria via LeMat-Bulk describes a relaxed SrCrTe2 crystal. The functional is PBE.

Cell: 7.5979 7.5979 7.5979 Å, 33.73 33.73 33.73°
With the nearest neighbours (Å) after each atom.
Sites, in units of the cell vectors:
Cr 0.2500 0.2500 0.2500  6 Te 2.93
Sr 0.7500 0.7500 0.7500  6 Te 3.31
Te 0.9845 0.9845 0.9845  3 Cr 2.93
Te 0.5155 0.5155 0.5155  3 Cr 2.93

Summary:
Total energy (eV per atom): -5.137
Magnetic moment (μB per formula unit): 4.0
Energy relative to the elements, uncorrected (eV per atom): -0.74
Calculated density (kg/m³): 5440

- Among the records above, which one has the highest calculated density?
  number 5